VASP calculation (PBE) on crystalline CoAgMo2 at its relaxed geometry.

Values from the calculation:
As for the formation energy: 0.419 eV per atom. Its size of the total moment is 0.6 Bohr magnetons per cell. Its energy above the most stable polymorph in this dataset is 130.3 meV per atom. The calculation puts the volume at 15.1 A^3/atom. The total energy comes out at -7.49 eV/atom.

Cell: 2.6880 3.8714 5.8146 Å, 90.00 90.00 90.00°
Last column: nearest neighbours and their distance in Å.
Space group Pmm2 (No. 25)
Inequivalent atoms, fractional coordinates:
Co 0.0000 0.0000 0.0000 (multiplicity 1)  5 Mo 2.62-2.63, 2 Co 2.69, 4 Ag 2.83
Ag 0.5000 0.5000 0.7310 (multiplicity 1)  2 Ag 2.69, 5 Mo 2.71-2.86, 4 Co 2.83
Mo 0.0000 0.0000 0.4528 (multiplicity 1)  1 Co 2.63, 6 Mo 2.69-2.79, 4 Ag 2.86
Mo 0.5000 0.5000 0.1968 (multiplicity 1)  4 Co 2.62, 6 Mo 2.69-2.79, 1 Ag 2.71